No. 1
AlAu7 | the Alexandria database | meta-GGA SCAN | PBEsol geometry; V = 16.697 A^3/atom; N(E_F) = 2.460 states/eV/cell; density = 17.48 g cm⁻³; SG = Fm-3m, No. 225; formation energy from the elements = -128 meV/atom; magnetization = 0.0 μB per formula unit
1.0
-1.222 2.604 -4.965
2.536 -1.730 -4.848
-3.047 -2.751 -4.009
Au Al
7 1
Direct
0.000 0.000 0.500 Au
0.500 0.000 0.000 Au
0.500 0.000 0.500 Au
0.500 0.500 0.500 Au
0.500 0.500 0.000 Au
0.000 0.500 0.500 Au
0.000 0.500 0.000 Au
0.000 0.000 0.000 Al

No. 2
Al3BAu | the Alexandria database | meta-GGA SCAN | PBEsol geometry; V = 21.347 A^3/atom; N(E_F) = 2.417 states/eV/cell; density = 4.49 g cm⁻³; SG = Pm-3m, No. 221; formation energy from the elements = 942 meV/atom; magnetization = 0.0 μB per formula unit
1.0
4.744 0.000 0.000
0.000 4.744 0.000
0.000 0.000 4.744
Au Al B
1 3 1
Direct
0.000 0.000 0.000 Au
0.000 0.000 0.500 Al
0.500 0.000 0.000 Al
0.000 0.500 0.000 Al
0.500 0.500 0.500 B

No. 3
Ca2AlBAu | the Alexandria database | meta-GGA SCAN | PBEsol geometry; V = 25.557 A^3/atom; N(E_F) = 3.280 states/eV/cell; density = 4.09 g cm⁻³; SG = P4/mmm, No. 123; formation energy from the elements = 51 meV/atom; magnetization = 0.0 μB per formula unit
1.0
-3.213 -1.278 2.104
1.136 -5.299 -1.484
3.223 -0.587 4.565
Ca Al Au B
2 1 1 1
Direct
0.000 0.000 0.500 Ca
0.000 0.500 0.000 Ca
0.500 0.500 0.500 Al
0.000 0.000 0.000 Au
0.500 0.000 0.000 B

No. 4
BaAlAu2 | the Alexandria database | meta-GGA SCAN | PBEsol geometry; V = 25.090 A^3/atom; N(E_F) = 2.040 states/eV/cell; density = 9.24 g cm⁻³; SG = Immm, No. 71; formation energy from the elements = -546 meV/atom; magnetization = 0.0 μB per formula unit
1.0
-1.494 2.947 -2.962
-1.344 -2.071 -4.707
-5.265 -0.063 -0.731
Au Ba Al
2 1 1
Direct
0.688 0.312 0.312 Au
0.312 0.688 0.688 Au
0.500 0.000 0.000 Ba
0.000 0.500 0.500 Al